DFT (PBE-GGA) results for crystalline Tm2ZrSe4 at its relaxed geometry.

Lattice parameters (Å, degrees): 14.5518 3.9823 7.0631 90.00 118.93 90.00
Space group C2/m (No. 12)
One atom of each set of equivalent atoms:
Tm: 0.2418 0.0000 0.2554 x4
Zr: 0.0000 0.5000 0.5000 x2
Se: 0.1177 0.5000 0.2939 x4
Se: 0.1259 0.0000 0.7863 x4

Output
V in A^3/atom: 25.59
Total energy in eV per atom: -6.0999



DFT (PBE-GGA) results for crystalline Tm2ZrSe5 at its relaxed geometry.

Lattice parameters (Å, degrees): 5.4724 13.3638 13.2361 90.00 90.00 90.00
Space group Cmcm (No. 63)
One atom of each set of equivalent atoms:
Tm: 0.0000 0.1497 0.0581 x8
Zr: 0.0000 0.1960 0.7500 x4
Se: 0.0000 0.0475 0.6231 x8
Se: 0.0000 0.2571 0.2500 x4
Se: 0.0000 0.3183 0.5783 x8

Output
V in A^3/atom: 30.25
Total energy in eV per atom: -5.9435



DFT (PBE-GGA) results for crystalline USe2 at its relaxed geometry.

Lattice parameters (Å, degrees): 14.0433 3.5105 3.5090 90.00 90.10 90.00
Space group C2/m (No. 12)
One atom of each set of equivalent atoms:
U: 0.0000 0.0000 0.0000 x2
Se: 0.1143 0.5000 0.5008 x4

Output
V in A^3/atom: 28.83
Total energy in eV per atom: -7.0976



DFT (PBE-GGA) results for crystalline U2Se at its relaxed geometry.

Lattice parameters (Å, degrees): 3.5352 3.5352 9.5480 90.00 90.00 90.00
Space group I4/mmm (No. 139)
One atom of each set of equivalent atoms:
U: 0.0000 0.0000 0.1965 x4
Se: 0.0000 0.0000 0.5000 x2

Output
V in A^3/atom: 19.89
Total energy in eV per atom: -9.0695